Entry 1:
# MnInGa2

Crystalline MnInGa2 at its relaxed geometry (GGA-PBE, the Alexandria database).

a b c (Å): 9.1947 9.1947 9.1947
angles (deg): 19.14 19.14 19.14
Closest atoms and distances in Å follow each position.
Positions (direct):
Mn: 0.0000 0.0000 0.0000  6 Ga 2.61
In: 0.5000 0.5000 0.5000  6 In 3.06, 6 Ga 3.13
Ga: 0.2622 0.2622 0.2622  3 Mn 2.61
Ga: 0.7378 0.7378 0.7378  3 Mn 2.61

The formation energy is 113 meV per atom. The value obtained for the magnetization is 0.72 μB per atom.

Entry 2:
# Mn2InGa

Crystalline Mn2InGa at its relaxed geometry (GGA-PBE, the Alexandria database).

a b c (Å): 5.7198 5.7198 5.7198
angles (deg): 103.62 103.62 121.95
Closest atoms and distances in Å follow each position.
Positions (direct):
Mn: 0.1027 0.6250 0.9777  2 Ga 2.49, 2 In 2.71
Mn: 0.3750 0.3527 0.4777  2 Ga 2.49, 2 In 2.71
Mn: 0.6473 0.1250 0.0223  2 Ga 2.49, 2 In 2.71
Mn: 0.8750 0.8973 0.5223  2 Ga 2.49, 2 In 2.71
In: 0.2500 0.7500 0.5000  4 Mn 2.71, 2 Ga 2.78
In: 0.5000 0.5000 0.0000  4 Mn 2.71, 2 Ga 2.78
Ga: 0.0000 0.0000 0.0000  4 Mn 2.49, 2 In 2.78
Ga: 0.7500 0.2500 0.5000  4 Mn 2.49, 2 In 2.78

The formation energy is 405 meV per atom. The value obtained for the magnetization is 1.51 μB per atom.

Entry 3:
# Mn2InGa

Crystalline Mn2InGa at its relaxed geometry (GGA-PBE, the Alexandria database).

a b c (Å): 2.8424 2.8424 7.5387
angles (deg): 90.00 90.00 90.00
Closest atoms and distances in Å follow each position.
Positions (direct):
Mn: 0.0000 0.0000 0.2246  4 Ga 2.63, 4 Mn 2.84, 4 In 2.89
Mn: 0.0000 0.0000 0.7754  4 Ga 2.63, 4 Mn 2.84, 4 In 2.89
In: 0.5000 0.5000 0.5000  4 In 2.84, 8 Mn 2.89
Ga: 0.5000 0.5000 0.0000  8 Mn 2.63, 4 Ga 2.84

The formation energy is 71 meV per atom. The value obtained for the magnetization is 1.32 μB per atom.

Entry 4:
# Mn2In2Ga

Crystalline Mn2In2Ga at its relaxed geometry (GGA-PBE, the Alexandria database).

a b c (Å): 6.4481 6.4481 4.2137
angles (deg): 90.00 90.00 90.00
Closest atoms and distances in Å follow each position.
Positions (direct):
Mn: 0.1438 0.3562 0.0000  2 Ga 2.48, 1 Mn 2.62, 2 In 2.75
Mn: 0.3562 0.8562 0.0000  2 Ga 2.48, 1 Mn 2.62, 2 In 2.75
Mn: 0.6438 0.1438 0.0000  2 Ga 2.48, 1 Mn 2.62, 2 In 2.75
Mn: 0.8562 0.6438 0.0000  2 Ga 2.48, 1 Mn 2.62, 2 In 2.75
In: 0.1632 0.6632 0.5000  6 Mn 2.75-2.89, 1 In 2.98
In: 0.3368 0.1632 0.5000  6 Mn 2.75-2.89, 1 In 2.98
In: 0.6632 0.8368 0.5000  6 Mn 2.75-2.89, 1 In 2.98
In: 0.8368 0.3368 0.5000  6 Mn 2.75-2.89, 1 In 2.98
Ga: 0.0000 0.0000 0.0000  4 Mn 2.48
Ga: 0.5000 0.5000 0.0000  4 Mn 2.48

The formation energy is 124 meV per atom. The value obtained for the magnetization is 0.96 μB per atom.

Entry 5:
# Mn2InGa

Crystalline Mn2InGa at its relaxed geometry (GGA-PBE, the Alexandria database).

a b c (Å): 4.4855 4.4855 4.4855
angles (deg): 60.00 60.00 60.00
Closest atoms and distances in Å follow each position.
Positions (direct):
Mn: 0.2500 0.2500 0.2500  4 Ga 2.75, 4 In 2.75
Mn: 0.7500 0.7500 0.7500  4 Ga 2.75, 4 In 2.75
In: 0.0000 0.0000 0.0000  8 Mn 2.75
Ga: 0.5000 0.5000 0.5000  8 Mn 2.75

The formation energy is 173 meV per atom. The value obtained for the magnetization is 1.60 μB per atom.

Entry 6:
# Mn2InGa

Crystalline Mn2InGa at its relaxed geometry (GGA-PBE, the Alexandria database).

a b c (Å): 3.9862 3.9862 3.8537
angles (deg): 90.00 90.00 90.00
Closest atoms and distances in Å follow each position.
Positions (direct):
Mn: 0.0000 0.5000 0.0000  4 In 2.77, 4 Ga 2.77, 4 Mn 2.82
Mn: 0.5000 0.0000 0.0000  4 In 2.77, 4 Ga 2.77, 4 Mn 2.82
In: 0.0000 0.0000 0.5000  8 Mn 2.77, 4 Ga 2.82
Ga: 0.5000 0.5000 0.5000  8 Mn 2.77, 4 In 2.82

The formation energy is 101 meV per atom. The value obtained for the magnetization is 1.37 μB per atom.

Entry 7:
# MnInGa2

Crystalline MnInGa2 at its relaxed geometry (GGA-PBE, the Alexandria database).

a b c (Å): 4.2276 4.2276 4.1057
angles (deg): 90.00 90.00 90.00
Closest atoms and distances in Å follow each position.
Positions (direct):
Mn: 0.0000 0.0000 0.0000  8 Ga 2.95, 4 In 2.99
In: 0.5000 0.5000 0.0000  8 Ga 2.95, 4 Mn 2.99
Ga: 0.0000 0.5000 0.5000  4 In 2.95, 4 Mn 2.95, 4 Ga 2.99
Ga: 0.5000 0.0000 0.5000  4 In 2.95, 4 Mn 2.95, 4 Ga 2.99

The formation energy is 123 meV per atom. The value obtained for the magnetization is 0.94 μB per atom.

Entry 8:
# NaMnIn2Ga

Crystalline NaMnIn2Ga at its relaxed geometry (GGA-PBE, the Alexandria database).

a b c (Å): 5.0494 5.0494 4.7442
angles (deg): 90.00 90.00 90.00
Closest atoms and distances in Å follow each position.
Positions (direct):
Na: 0.0000 0.0000 0.0000  8 In 3.46, 4 Ga 3.57
Mn: 0.5000 0.5000 0.5000  2 Ga 2.37, 4 In 2.52
In: 0.0000 0.5000 0.5000  2 Mn 2.52
In: 0.5000 0.0000 0.5000  2 Mn 2.52
Ga: 0.5000 0.5000 0.0000  2 Mn 2.37

The formation energy is 83 meV per atom. The value obtained for the magnetization is 0.17 μB per atom.

Question: The lowest magnetization belongs to which entry?
Answer: NaMnIn2Ga